[1]
A relaxed structure of TaCdAg2. Source: Alexandria via LeMat-Bulk, functional PBE.

a = 4.268 Å, b = 4.268 Å, c = 4.105 Å
α = 90.00°, β = 90.00°, γ = 90.00°
Element x y z (fractional)
Ta 0.000 0.000 0.000
Cd 0.500 0.500 0.000
Ag 0.000 0.500 0.500
Ag 0.500 0.000 0.500

Values from the calculation:
The calculation puts the electronic total energy at -16.41 eV for the cell shown.

***

[2]
A relaxed structure of TaCdAg2. Source: Alexandria via LeMat-Bulk, functional PBE.

a = 2.850 Å, b = 5.109 Å, c = 5.185 Å
α = 90.00°, β = 90.00°, γ = 90.00°
Element x y z (fractional)
Ta 0.000 0.000 0.000
Cd 0.500 0.000 0.500
Ag 0.000 0.500 0.500
Ag 0.500 0.500 0.000

Values from the calculation:
The calculation puts the electronic total energy at -16.90 eV for the cell shown.

***

[3]
A relaxed structure of TaCdAg2. Source: Alexandria via LeMat-Bulk, functional PBE.

a = 3.372 Å, b = 4.586 Å, c = 9.598 Å
α = 90.00°, β = 90.00°, γ = 90.00°
Element x y z (fractional)
Ta 0.000 0.000 0.000
Ta 0.500 0.500 0.000
Cd 0.000 0.500 0.259
Cd 0.500 0.000 0.259
Ag 0.000 0.000 0.510
Ag 0.000 0.500 0.756
Ag 0.500 0.000 0.756
Ag 0.500 0.500 0.510

Values from the calculation:
The calculation puts the electronic total energy at -35.22 eV for the cell shown.

***

[4]
A relaxed structure of TaCdAg2. Source: Alexandria via LeMat-Bulk, functional PBE.

a = 2.843 Å, b = 4.244 Å, c = 6.145 Å
α = 90.00°, β = 90.00°, γ = 90.00°
Element x y z (fractional)
Ta 0.000 0.000 0.000
Cd 0.500 0.500 0.735
Ag 0.000 0.000 0.484
Ag 0.500 0.500 0.233

Values from the calculation:
The calculation puts the electronic total energy at -17.23 eV for the cell shown.

***

[5]
A relaxed structure of Ta2CdAgTe. Source: Alexandria via LeMat-Bulk, functional PBE.

a = 5.044 Å, b = 5.044 Å, c = 5.361 Å
α = 90.00°, β = 90.00°, γ = 90.00°
Element x y z (fractional)
Ta 0.000 0.500 0.000
Ta 0.500 0.000 0.000
Cd 0.000 0.000 0.500
Ag 0.500 0.500 0.500
Te 0.000 0.000 0.000

Values from the calculation:
The raw formation energy comes out at 1.66 eV/atom. The calculation puts the electronic total energy at -22.33 eV for the cell shown.

***

[6]
A relaxed structure of Y2TaCdAg. Source: Alexandria via LeMat-Bulk, functional PBE.

a = 5.563 Å, b = 5.563 Å, c = 4.914 Å
α = 90.00°, β = 90.00°, γ = 90.00°
Element x y z (fractional)
Y 0.000 0.500 0.000
Y 0.500 0.000 0.000
Ta 0.000 0.000 0.500
Cd 0.500 0.500 0.000
Ag 0.500 0.500 0.500

Values from the calculation:
The calculation puts the electronic total energy at -22.93 eV for the cell shown.

***

[7]
A relaxed structure of Tb2CdAg3. Source: Alexandria via LeMat-Bulk, functional PBE.

a = 3.961 Å, b = 4.027 Å, c = 18.469 Å
α = 90.00°, β = 90.00°, γ = 90.00°
Element x y z (fractional)
Tb 0.000 0.000 0.000
Tb 0.000 0.500 0.230
Tb 0.500 0.000 0.730
Tb 0.500 0.500 0.500
Cd 0.000 0.000 0.408
Cd 0.500 0.500 0.908
Ag 0.000 0.000 0.562
Ag 0.000 0.500 0.658
Ag 0.000 0.500 0.807
Ag 0.500 0.000 0.158
Ag 0.500 0.000 0.307
Ag 0.500 0.500 0.062

Values from the calculation:
The calculation puts the electronic total energy at -39.60 eV for the cell shown.

***

[8]
A relaxed structure of TbCd4Ag4. Source: Alexandria via LeMat-Bulk, functional PBE.

a = 6.275 Å, b = 6.275 Å, c = 10.083 Å
α = 90.00°, β = 90.00°, γ = 90.00°
Element x y z (fractional)
Tb 0.250 0.750 0.250
Tb 0.750 0.250 0.750
Cd 0.029 0.250 0.177
Cd 0.250 0.029 0.677
Cd 0.250 0.471 0.677
Cd 0.471 0.250 0.177
Cd 0.529 0.750 0.823
Cd 0.750 0.529 0.323
Cd 0.750 0.971 0.323
Cd 0.971 0.750 0.823
Ag 0.014 0.250 0.475
Ag 0.250 0.014 0.975
Ag 0.250 0.486 0.975
Ag 0.486 0.250 0.475
Ag 0.514 0.750 0.525
Ag 0.750 0.514 0.025
Ag 0.750 0.986 0.025
Ag 0.986 0.750 0.525

Values from the calculation:
The calculation puts the electronic total energy at -40.10 eV for the cell shown.

***

[9]
A relaxed structure of Tb3Cd2Ag2. Source: Alexandria via LeMat-Bulk, functional PBE.

a = 4.558 Å, b = 21.863 Å, c = 3.458 Å
α = 90.00°, β = 90.00°, γ = 90.00°
Element x y z (fractional)
Tb 0.000 0.000 0.000
Tb 0.000 0.161 0.000
Tb 0.000 0.839 0.000
Tb 0.500 0.339 0.000
Tb 0.500 0.500 0.000
Tb 0.500 0.661 0.000
Cd 0.000 0.423 0.500
Cd 0.000 0.577 0.500
Cd 0.500 0.077 0.500
Cd 0.500 0.923 0.500
Ag 0.000 0.286 0.500
Ag 0.000 0.714 0.500
Ag 0.500 0.214 0.500
Ag 0.500 0.786 0.500

Values from the calculation:
The calculation puts the electronic total energy at -46.76 eV for the cell shown.

***

[10]
A relaxed structure of Tb3Cd8Ag3. Source: Alexandria via LeMat-Bulk, functional PBE.

a = 8.583 Å, b = 8.583 Å, c = 8.583 Å
α = 147.18°, β = 105.13°, γ = 84.18°
Element x y z (fractional)
Tb 0.000 0.000 0.000
Tb 0.289 0.289 0.000
Tb 0.711 0.711 0.000
Cd 0.006 0.640 0.366
Cd 0.144 0.863 0.281
Cd 0.274 0.640 0.634
Cd 0.419 0.137 0.281
Cd 0.581 0.863 0.719
Cd 0.726 0.360 0.366
Cd 0.856 0.137 0.719
Cd 0.994 0.360 0.634
Ag 0.351 0.500 0.851
Ag 0.500 0.000 0.500
Ag 0.649 0.500 0.149

Values from the calculation:
The calculation puts the electronic total energy at -32.69 eV for the cell shown.

***

[11]
A relaxed structure of Tb2Cd3Ag2. Source: Alexandria via LeMat-Bulk, functional PBE.

a = 4.651 Å, b = 20.781 Å, c = 3.422 Å
α = 90.00°, β = 90.00°, γ = 90.00°
Element x y z (fractional)
Tb 0.000 0.160 0.000
Tb 0.000 0.840 0.000
Tb 0.500 0.340 0.000
Tb 0.500 0.660 0.000
Cd 0.000 0.000 0.000
Cd 0.000 0.427 0.500
Cd 0.000 0.573 0.500
Cd 0.500 0.073 0.500
Cd 0.500 0.500 0.000
Cd 0.500 0.927 0.500
Ag 0.000 0.288 0.500
Ag 0.000 0.712 0.500
Ag 0.500 0.212 0.500
Ag 0.500 0.788 0.500

Values from the calculation:
The calculation puts the electronic total energy at -38.47 eV for the cell shown.

***

[12]
A relaxed structure of Tb2Cd5Ag. Source: Alexandria via LeMat-Bulk, functional PBE.

a = 11.295 Å, b = 11.295 Å, c = 11.295 Å
α = 24.02°, β = 24.02°, γ = 24.02°
Element x y z (fractional)
Tb 0.092 0.092 0.092
Tb 0.908 0.908 0.908
Cd 0.196 0.196 0.196
Cd 0.365 0.365 0.365
Cd 0.500 0.500 0.500
Cd 0.635 0.635 0.635
Cd 0.804 0.804 0.804
Ag 0.000 0.000 0.000

Values from the calculation:
The calculation puts the electronic total energy at -17.23 eV for the cell shown.